# 1
This record from Alexandria describes a relaxed Er4Zn3Ni crystal. The functional is PBE-GGA.

Computed properties:
- Fermi-level density of states: 0.7356 states/eV/atom
- E above lowest polymorph: 0 meV/atom
- Electronic total energy: -3.86 eV per atom
- Space group: P4/mmm

Cell lengths 3.4800, 3.4800, 13.9814 Å; angles 90.00, 90.00, 90.00 degrees
Fractional positions:
Zn 0.5000 0.5000 0.5000
Zn 0.5000 0.5000 0.2452
Zn 0.5000 0.5000 0.7548
Er 0.0000 0.0000 0.8854
Er 0.0000 0.0000 0.3717
Er 0.0000 0.0000 0.6283
Er 0.0000 0.0000 0.1146
Ni 0.5000 0.5000 0.0000

# 2
This record from Alexandria describes a relaxed Ga3GeIr crystal. The functional is PBE-GGA.

Computed properties:
- Fermi-level density of states: 0.3487 states/eV/atom
- E above lowest polymorph: 0 meV/atom
- Electronic total energy: -4.49 eV per atom
- Space group: I-4m2

Cell lengths 5.0179, 5.0179, 9.0141 Å; angles 106.16, 106.16, 90.00 degrees
Fractional positions:
Ga 0.1252 0.8748 0.2505
Ga 0.3075 0.3075 0.6150
Ga 0.1252 0.3757 0.2505
Ga 0.6243 0.8748 0.7495
Ga 0.6925 0.6925 0.3850
Ga 0.1252 0.8748 0.7495
Ge 0.5662 0.0662 0.1323
Ge 0.9338 0.4338 0.8677
Ir 0.0000 0.0000 0.0000
Ir 0.2500 0.7500 0.5000

# 3
This record from Alexandria describes a relaxed Mn3HgCl crystal. The functional is PBE-GGA.

Computed properties:
- Energy relative to the elements, uncorrected: 0.643 eV/atom
- Fermi-level density of states: 0.9248 states/eV/atom
- E above lowest polymorph: 0 meV/atom
- Electronic total energy: -5.29 eV per atom
- Space group: Pm-3m

Cell lengths 4.4741, 4.4741, 4.4741 Å; angles 90.00, 90.00, 90.00 degrees
Last column: magnetic moment on the atom in μB.
Fractional positions:
Mn 0.0000 0.5000 0.0000  3.42
Mn 0.0000 0.0000 0.5000  3.30
Mn 0.5000 0.0000 0.0000  3.66
Hg 0.5000 0.5000 0.5000  -0.01
Cl 0.0000 0.0000 0.0000  0.02